Entry P
Computed, not measured: Cs2Se after structural relaxation at the GGA-PBE level of DFT.

Calculated values
For the volume, the calculation gives 511.34 Å³/cell. The size of the total moment is 0.000 μB per cell. The calculation puts the calculated density at 4.48 g cm⁻³.

Unit cell a=6.711 b=6.711 c=11.353 alpha=90.00 beta=90.00 gamma=90.00
Atoms (fractional coordinates):
Cs 0.000 0.000 0.153
Cs 0.000 0.000 0.847
Cs 0.000 0.500 0.347
Cs 0.000 0.500 0.653
Cs 0.500 0.000 0.347
Cs 0.500 0.000 0.653
Cs 0.500 0.500 0.153
Cs 0.500 0.500 0.847
Se 0.000 0.000 0.500
Se 0.000 0.500 0.000
Se 0.500 0.000 0.000
Se 0.500 0.500 0.500


Entry Q
Computed, not measured: Cs2Se after structural relaxation at the GGA-PBE level of DFT.

Calculated values
For the volume, the calculation gives 171.52 Å³/cell. The size of the total moment is 0.000 μB per cell. The calculation puts the calculated density at 3.34 g cm⁻³.

Unit cell a=5.517 b=5.517 c=6.506 alpha=90.00 beta=90.00 gamma=120.00
Atoms (fractional coordinates):
Cs 0.333 0.667 0.236
Cs 0.667 0.333 0.764
Se 0.000 0.000 0.000


Most stable structure, least stable structure: entry Q, entry P.


Entry P
Computed, not measured: Cs2Se after structural relaxation at the GGA-PBE level of DFT.

Calculated values
For the volume, the calculation gives 613.50 Å³/cell. The size of the total moment is 0.000 μB per cell. The calculation puts the calculated density at 3.73 g cm⁻³.

Unit cell a=8.497 b=8.497 c=8.497 alpha=90.00 beta=90.00 gamma=90.00
Atoms (fractional coordinates):
Cs 0.250 0.250 0.250
Cs 0.250 0.250 0.750
Cs 0.250 0.750 0.250
Cs 0.250 0.750 0.750
Cs 0.750 0.250 0.250
Cs 0.750 0.250 0.750
Cs 0.750 0.750 0.250
Cs 0.750 0.750 0.750
Se 0.000 0.000 0.000
Se 0.000 0.500 0.500
Se 0.500 0.000 0.500
Se 0.500 0.500 0.000


Entry Q
Computed, not measured: Cs2Se after structural relaxation at the GGA-PBE level of DFT.

Calculated values
For the volume, the calculation gives 490.82 Å³/cell. The size of the total moment is 0.000 μB per cell. The calculation puts the calculated density at 2.33 g cm⁻³.

Unit cell a=7.888 b=7.888 c=7.888 alpha=90.00 beta=90.00 gamma=90.00
Atoms (fractional coordinates):
Cs 0.000 0.000 0.000
Cs 0.000 0.500 0.500
Cs 0.500 0.000 0.500
Cs 0.500 0.500 0.000
Se 0.250 0.250 0.250
Se 0.750 0.750 0.750


Entry R
Computed, not measured: Cs2Se after structural relaxation at the GGA-PBE level of DFT.

Calculated values
For the volume, the calculation gives 479.22 Å³/cell. The size of the total moment is 0.000 μB per cell. The calculation puts the calculated density at 2.39 g cm⁻³.

Unit cell a=6.802 b=5.872 c=12.000 alpha=90.00 beta=90.00 gamma=90.00
Atoms (fractional coordinates):
Cs 0.250 0.000 0.102
Cs 0.250 0.500 0.671
Cs 0.750 0.000 0.898
Cs 0.750 0.500 0.329
Se 0.250 0.000 0.808
Se 0.750 0.000 0.192


Entry S
Computed, not measured: Cs2Se after structural relaxation at the GGA-PBE level of DFT.

Calculated values
For the volume, the calculation gives 326.01 Å³/cell. The size of the total moment is 0.000 μB per cell. The calculation puts the calculated density at 3.51 g cm⁻³.

Unit cell a=11.910 b=11.910 c=11.910 alpha=27.87 beta=27.87 gamma=27.87
Atoms (fractional coordinates):
Cs 0.117 0.117 0.117
Cs 0.298 0.298 0.298
Cs 0.702 0.702 0.702
Cs 0.883 0.883 0.883
Se 0.409 0.409 0.409
Se 0.591 0.591 0.591


Most stable structure, least stable structure: entry P, entry Q.


Entry P
Computed, not measured: CsSiSe2 after structural relaxation at the GGA-PBE level of DFT.

Calculated values
For the volume, the calculation gives 589.44 Å³/cell. The size of the total moment is 0.000 μB per cell. The calculation puts the calculated density at 3.59 g cm⁻³.

Unit cell a=7.650 b=7.650 c=10.071 alpha=90.00 beta=90.00 gamma=90.00
Atoms (fractional coordinates):
Cs 0.000 0.000 0.000
Cs 0.000 0.500 0.250
Cs 0.500 0.000 0.750
Cs 0.500 0.500 0.500
Si 0.000 0.000 0.500
Si 0.000 0.500 0.750
Si 0.500 0.000 0.250
Si 0.500 0.500 0.000
Se 0.109 0.250 0.625
Se 0.250 0.609 0.875
Se 0.250 0.891 0.375
Se 0.391 0.250 0.125
Se 0.609 0.750 0.125
Se 0.750 0.109 0.375
Se 0.750 0.391 0.875
Se 0.891 0.750 0.625


Entry Q
Computed, not measured: CsSiSe2 after structural relaxation at the GGA-PBE level of DFT.

Calculated values
For the volume, the calculation gives 351.74 Å³/cell. The size of the total moment is 0.000 μB per cell. The calculation puts the calculated density at 4.52 g cm⁻³.

Unit cell a=3.763 b=3.763 c=28.677 alpha=90.00 beta=90.00 gamma=120.00
Atoms (fractional coordinates):
Cs 0.000 0.000 0.000
Cs 0.333 0.667 0.667
Cs 0.667 0.333 0.333
Si 0.000 0.000 0.500
Si 0.333 0.667 0.167
Si 0.667 0.333 0.833
Se 0.000 0.000 0.118
Se 0.000 0.000 0.882
Se 0.333 0.667 0.549
Se 0.333 0.667 0.785
Se 0.667 0.333 0.215
Se 0.667 0.333 0.451


Most stable structure, least stable structure: entry P, entry Q.


Entry P
Computed, not measured: Cs3SiSe3 after structural relaxation at the GGA-PBE level of DFT.

Calculated values
For the volume, the calculation gives 690.68 Å³/cell. The size of the total moment is 1.525 μB per cell. The calculation puts the calculated density at 3.19 g cm⁻³.

Unit cell a=10.498 b=10.498 c=7.223 alpha=90.00 beta=90.00 gamma=119.82
Atoms (fractional coordinates):
Cs 0.191 0.809 0.750
Cs 0.192 0.383 0.750
Cs 0.383 0.192 0.250
Cs 0.617 0.808 0.750
Cs 0.808 0.617 0.250
Cs 0.809 0.191 0.250
Si 0.333 0.667 0.250
Si 0.667 0.333 0.750
Se 0.208 0.792 0.250
Se 0.209 0.418 0.250
Se 0.418 0.209 0.750
Se 0.582 0.791 0.250
Se 0.791 0.582 0.750
Se 0.792 0.208 0.750


Entry Q
Computed, not measured: Cs3SiSe3 after structural relaxation at the GGA-PBE level of DFT.

Calculated values
For the volume, the calculation gives 1138.73 Å³/cell. The size of the total moment is 0.000 μB per cell. The calculation puts the calculated density at 3.87 g cm⁻³.

Unit cell a=11.113 b=11.113 c=14.206 alpha=90.00 beta=90.00 gamma=40.47
Atoms (fractional coordinates):
Cs 0.022 0.329 0.871
Cs 0.137 0.863 0.830
Cs 0.171 0.478 0.629
Cs 0.329 0.022 0.129
Cs 0.363 0.637 0.330
Cs 0.478 0.171 0.371
Cs 0.522 0.829 0.629
Cs 0.637 0.363 0.670
Cs 0.671 0.978 0.871
Cs 0.829 0.522 0.371
Cs 0.863 0.137 0.170
Cs 0.978 0.671 0.129
Si 0.079 0.079 0.500
Si 0.421 0.421 0.000
Si 0.579 0.579 0.000
Si 0.921 0.921 0.500
Se 0.005 0.288 0.611
Se 0.210 0.790 0.575
Se 0.212 0.495 0.889
Se 0.288 0.005 0.389
Se 0.290 0.710 0.075
Se 0.495 0.212 0.111
Se 0.505 0.788 0.889
Se 0.710 0.290 0.925
Se 0.712 0.995 0.611
Se 0.788 0.505 0.111
Se 0.790 0.210 0.425
Se 0.995 0.712 0.389


Most stable structure, least stable structure: entry Q, entry P.


Entry P
Computed, not measured: Cs2SiSe after structural relaxation at the GGA-PBE level of DFT.

Calculated values
For the volume, the calculation gives 929.26 Å³/cell. The size of the total moment is 0.025 μB per cell. The calculation puts the calculated density at 2.67 g cm⁻³.

Unit cell a=13.666 b=13.666 c=4.976 alpha=90.00 beta=90.00 gamma=90.00
Atoms (fractional coordinates):
Cs 0.050 0.250 0.125
Cs 0.250 0.550 0.375
Cs 0.250 0.950 0.875
Cs 0.450 0.250 0.625
Cs 0.550 0.750 0.625
Cs 0.750 0.050 0.875
Cs 0.750 0.450 0.375
Cs 0.950 0.750 0.125
Si 0.000 0.000 0.500
Si 0.000 0.500 0.750
Si 0.500 0.000 0.250
Si 0.500 0.500 0.000
Se 0.000 0.000 0.000
Se 0.000 0.500 0.250
Se 0.500 0.000 0.750
Se 0.500 0.500 0.500


Entry Q
Computed, not measured: Cs2SiSe after structural relaxation at the GGA-PBE level of DFT.

Calculated values
For the volume, the calculation gives 666.39 Å³/cell. The size of the total moment is 8.000 μB per cell. The calculation puts the calculated density at 3.72 g cm⁻³.

Unit cell a=8.735 b=8.735 c=8.735 alpha=90.00 beta=90.00 gamma=90.00
Atoms (fractional coordinates):
Cs 0.250 0.250 0.250
Cs 0.250 0.250 0.750
Cs 0.250 0.750 0.250
Cs 0.250 0.750 0.750
Cs 0.750 0.250 0.250
Cs 0.750 0.250 0.750
Cs 0.750 0.750 0.250
Cs 0.750 0.750 0.750
Si 0.000 0.000 0.000
Si 0.000 0.500 0.500
Si 0.500 0.000 0.500
Si 0.500 0.500 0.000
Se 0.000 0.000 0.500
Se 0.000 0.500 0.000
Se 0.500 0.000 0.000
Se 0.500 0.500 0.500


Most stable structure, least stable structure: entry P, entry Q.


Entry P
Computed, not measured: CsSm2Se3 after structural relaxation at the GGA-PBE level of DFT.

Calculated values
For the volume, the calculation gives 391.60 Å³/cell. The size of the total moment is 0.000 μB per cell. The calculation puts the calculated density at 5.69 g cm⁻³.

Unit cell a=7.608 b=7.806 c=7.608 alpha=90.00 beta=119.92 gamma=90.00
Atoms (fractional coordinates):
Cs 0.001 0.250 0.000
Cs 0.999 0.750 0.000
Sm 0.333 0.000 0.667
Sm 0.333 0.500 0.667
Sm 0.667 0.000 0.333
Sm 0.667 0.500 0.333
Se 0.000 0.250 0.499
Se 0.000 0.750 0.501
Se 0.499 0.750 0.499
Se 0.500 0.250 0.000
Se 0.500 0.750 0.000
Se 0.501 0.250 0.501


Entry Q
Computed, not measured: CsSm2Se3 after structural relaxation at the GGA-PBE level of DFT.

Calculated values
For the volume, the calculation gives 368.42 Å³/cell. The size of the total moment is 0.000 μB per cell. The calculation puts the calculated density at 6.04 g cm⁻³.

Unit cell a=7.843 b=4.241 c=11.391 alpha=90.00 beta=103.49 gamma=90.00
Atoms (fractional coordinates):
Cs 0.027 0.250 0.344
Cs 0.973 0.750 0.656
Sm 0.256 0.250 0.993
Sm 0.499 0.750 0.316
Sm 0.501 0.250 0.684
Sm 0.744 0.750 0.007
Se 0.147 0.750 0.138
Se 0.326 0.750 0.524
Se 0.391 0.750 0.847
Se 0.609 0.250 0.153
Se 0.674 0.250 0.476
Se 0.853 0.250 0.862


Most stable structure, least stable structure: entry P, entry Q.


Entry P
Computed, not measured: Cs2SnSe2 after structural relaxation at the GGA-PBE level of DFT.

Calculated values
For the volume, the calculation gives 402.82 Å³/cell. The size of the total moment is 0.000 μB per cell. The calculation puts the calculated density at 4.47 g cm⁻³.

Unit cell a=7.108 b=7.108 c=14.218 alpha=90.00 beta=90.00 gamma=145.89
Atoms (fractional coordinates):
Cs 0.084 0.916 0.500
Cs 0.344 0.656 0.689
Cs 0.656 0.344 0.189
Cs 0.916 0.084 0.000
Sn 0.334 0.666 0.342
Sn 0.666 0.334 0.842
Se 0.042 0.958 0.770
Se 0.190 0.810 0.984
Se 0.810 0.190 0.484
Se 0.958 0.042 0.270


Entry Q
Computed, not measured: Cs2SnSe2 after structural relaxation at the GGA-PBE level of DFT.

Calculated values
For the volume, the calculation gives 433.06 Å³/cell. The size of the total moment is 0.000 μB per cell. The calculation puts the calculated density at 4.16 g cm⁻³.

Unit cell a=8.627 b=8.627 c=8.071 alpha=116.24 beta=116.24 gamma=99.30
Atoms (fractional coordinates):
Cs 0.039 0.724 0.897
Cs 0.276 0.961 0.603
Cs 0.724 0.039 0.397
Cs 0.961 0.276 0.103
Sn 0.450 0.550 0.750
Sn 0.550 0.450 0.250
Se 0.223 0.375 0.897
Se 0.375 0.223 0.397
Se 0.625 0.777 0.603
Se 0.777 0.625 0.103


Entry R
Computed, not measured: Cs2SnSe2 after structural relaxation at the GGA-PBE level of DFT.

Calculated values
For the volume, the calculation gives 381.66 Å³/cell. The size of the total moment is 0.448 μB per cell. The calculation puts the calculated density at 4.72 g cm⁻³.

Unit cell a=8.322 b=8.322 c=5.511 alpha=90.00 beta=90.00 gamma=90.00
Atoms (fractional coordinates):
Cs 0.148 0.352 0.000
Cs 0.352 0.852 0.000
Cs 0.648 0.148 0.000
Cs 0.852 0.648 0.000
Sn 0.000 0.000 0.500
Sn 0.500 0.500 0.500
Se 0.178 0.678 0.500
Se 0.322 0.178 0.500
Se 0.678 0.822 0.500
Se 0.822 0.322 0.500


Most stable structure, least stable structure: entry Q, entry R.


Entry P
Computed, not measured: CsSn3Se after structural relaxation at the GGA-PBE level of DFT.

Calculated values
For the volume, the calculation gives 241.99 Å³/cell. The size of the total moment is 1.022 μB per cell. The calculation puts the calculated density at 3.90 g cm⁻³.

Unit cell a=6.232 b=6.232 c=6.232 alpha=90.00 beta=90.00 gamma=90.00
Atoms (fractional coordinates):
Cs 0.000 0.000 0.000
Sn 0.000 0.000 0.500
Sn 0.000 0.500 0.000
Sn 0.500 0.000 0.000
Se 0.500 0.500 0.500


Entry Q
Computed, not measured: CsSn3Se after structural relaxation at the GGA-PBE level of DFT.

Calculated values
For the volume, the calculation gives 192.80 Å³/cell. The size of the total moment is 0.000 μB per cell. The calculation puts the calculated density at 4.89 g cm⁻³.

Unit cell a=5.777 b=5.777 c=5.777 alpha=90.00 beta=90.00 gamma=90.00
Atoms (fractional coordinates):
Cs 0.000 0.000 0.000
Sn 0.000 0.500 0.500
Sn 0.500 0.000 0.500
Sn 0.500 0.500 0.000
Se 0.500 0.500 0.500


Most stable structure, least stable structure: entry Q, entry P.


Entry P
Computed, not measured: CsSr2Se2 after structural relaxation at the GGA-PBE level of DFT.

Calculated values
For the volume, the calculation gives 335.86 Å³/cell. The size of the total moment is 0.001 μB per cell. The calculation puts the calculated density at 4.61 g cm⁻³.

Unit cell a=8.971 b=8.971 c=4.173 alpha=90.00 beta=90.00 gamma=90.00
Atoms (fractional coordinates):
Cs 0.000 0.000 0.000
Cs 0.500 0.500 0.000
Sr 0.149 0.351 0.500
Sr 0.351 0.851 0.500
Sr 0.649 0.149 0.500
Sr 0.851 0.649 0.500
Se 0.146 0.646 0.000
Se 0.354 0.146 0.000
Se 0.646 0.854 0.000
Se 0.854 0.354 0.000


Entry Q
Computed, not measured: CsSr2Se2 after structural relaxation at the GGA-PBE level of DFT.

Calculated values
For the volume, the calculation gives 438.95 Å³/cell. The size of the total moment is 1.902 μB per cell. The calculation puts the calculated density at 3.53 g cm⁻³.

Unit cell a=5.838 b=5.838 c=12.878 alpha=90.00 beta=90.00 gamma=90.00
Atoms (fractional coordinates):
Cs 0.000 0.000 0.000
Cs 0.500 0.500 0.500
Sr 0.000 0.000 0.319
Sr 0.000 0.000 0.681
Sr 0.500 0.500 0.181
Sr 0.500 0.500 0.819
Se 0.000 0.500 0.250
Se 0.000 0.500 0.750
Se 0.500 0.000 0.250
Se 0.500 0.000 0.750


Most stable structure, least stable structure: entry Q, entry P.


Entry P
Computed, not measured: Cs4TaSe4 after structural relaxation at the GGA-PBE level of DFT.

Calculated values
For the volume, the calculation gives 788.61 Å³/cell. The size of the total moment is 2.072 μB per cell. The calculation puts the calculated density at 4.33 g cm⁻³.

Unit cell a=10.145 b=10.145 c=7.662 alpha=90.00 beta=90.00 gamma=90.00
Atoms (fractional coordinates):
Cs 0.027 0.250 0.102
Cs 0.250 0.027 0.602
Cs 0.250 0.473 0.602
Cs 0.473 0.250 0.102
Cs 0.527 0.750 0.898
Cs 0.750 0.527 0.398
Cs 0.750 0.973 0.398
Cs 0.973 0.750 0.898
Ta 0.250 0.750 0.250
Ta 0.750 0.250 0.750
Se 0.042 0.750 0.419
Se 0.250 0.542 0.081
Se 0.250 0.958 0.081
Se 0.458 0.750 0.419
Se 0.542 0.250 0.581
Se 0.750 0.042 0.919
Se 0.750 0.458 0.919
Se 0.958 0.250 0.581


Entry Q
Computed, not measured: Cs4TaSe4 after structural relaxation at the GGA-PBE level of DFT.

Calculated values
For the volume, the calculation gives 393.04 Å³/cell. The size of the total moment is 0.964 μB per cell. The calculation puts the calculated density at 4.34 g cm⁻³.

Unit cell a=8.211 b=8.211 c=8.211 alpha=101.19 beta=101.19 gamma=127.73
Atoms (fractional coordinates):
Cs 0.085 0.291 0.377
Cs 0.291 0.915 0.206
Cs 0.709 0.085 0.794
Cs 0.915 0.709 0.623
Ta 0.500 0.500 0.000
Se 0.268 0.575 0.843
Se 0.425 0.268 0.693
Se 0.575 0.732 0.307
Se 0.732 0.425 0.157


Most stable structure, least stable structure: entry P, entry Q.